# BaErCu | Alexandria | PBE-GGA | relaxed
# spin magnetization: 0.00 μB per atom
# D(E_F): 1.24 states/eV/atom
# theoretical density: 6.49 g/cm3
# energy of formation: -0.0283 eV per atom
data_BaErCu
_chemical_formula_sum 'Ba2 Er2 Cu2'
_symmetry_space_group_name_H-M 'P 4/n m m'
_symmetry_Int_Tables_number 129
_cell_length_a 4.970
_cell_length_b 4.970
_cell_length_c 7.629
_cell_angle_alpha 90.00
_cell_angle_beta 90.00
_cell_angle_gamma 90.00
loop_
_symmetry_equiv_pos_as_xyz
'x,y,z'
'-x,-y,-z'
'-y+1/2,x,z'
'y+1/2,-x,-z'
'-x+1/2,-y+1/2,z'
'x+1/2,y+1/2,-z'
'y,-x+1/2,z'
'-y,x+1/2,-z'
'x+1/2,-y,-z'
'-x+1/2,y,z'
'-y,-x,-z'
'y,x,z'
'-x,y+1/2,-z'
'x,-y+1/2,z'
'y+1/2,x+1/2,-z'
'-y+1/2,-x+1/2,z'
loop_
_atom_site_label
_atom_site_type_symbol
_atom_site_fract_x
_atom_site_fract_y
_atom_site_fract_z
Ba1 Ba 0.250 0.250 0.118
Er1 Er 0.250 0.750 0.500
Cu1 Cu 0.250 0.250 0.684